First-principles (PBE) data for a relaxed structure of NdLu, as listed in the Open Quantum Materials Database.

## Properties
As for the formation energy: 66.7 kJ/mol of atoms. For the total DFT energy (no corrections), the calculation gives -7.905 eV for the cell shown. The calculation puts the theoretical density at 7.94 g cm⁻³. The calculation puts the size of the total moment at 0.02 μB per formula unit.

The structure in extended XYZ format:
```
2
Lattice="0.0000 3.2193 3.2193 3.2193 0.0000 3.2193 3.2193 3.2193 0.0000" Properties=species:S:1:pos:R:3 pbc="T T T"
Nd 0.0000 0.0000 0.0000
Lu 3.2193 3.2193 3.2193
```